No. 1
Here is a relaxed Na3PmI6 crystal from the Alexandria database. Energies are from GGA-PBE.

Values from the calculation:
As for the theoretical density: 4.1 Mg/m³. The value obtained for the density of states at the Fermi level is 0.000 states/eV/atom. The value obtained for the distance to the lowest polymorph of the same formula is 5 meV per atom. The value obtained for the raw total energy is -3.0945 eV per atom. The formation energy without anion corrections is -1.294 eV per atom.

Lattice parameters (Å, degrees): 7.8749 8.4456 14.2717 90.00 123.33 90.00
With the nearest neighbours (Å) after each atom.
Atoms (fractional coordinates):
Na1 0.0000 0.0000 0.0000  6 I 3.16-3.36
Na2 0.0000 0.5000 0.5000  6 I 3.16-3.36
Na3 0.1998 0.0988 0.7412  6 I 3.26-3.64
Na4 0.1998 0.4012 0.2412  6 I 3.26-3.64
Na5 0.8002 0.5988 0.7588  6 I 3.26-3.64
Na6 0.8002 0.9012 0.2588  6 I 3.26-3.64
Pm1 0.5000 0.0000 0.5000  6 I 3.09-3.13
Pm2 0.5000 0.5000 0.0000  6 I 3.09-3.13
I1 0.1042 0.1802 0.4271  1 Pm 3.09, 2 Na 3.16-3.28
I2 0.1042 0.3198 0.9271  1 Pm 3.09, 2 Na 3.16-3.28
I3 0.2517 0.6860 0.4203  1 Pm 3.12, 2 Na 3.19-3.37
I4 0.2517 0.8140 0.9203  1 Pm 3.12, 2 Na 3.19-3.37
I5 0.4100 0.0597 0.2600  1 Pm 3.13, 3 Na 3.26-3.36
I6 0.4100 0.4403 0.7600  1 Pm 3.13, 3 Na 3.26-3.36
I7 0.5900 0.5597 0.2400  1 Pm 3.13, 3 Na 3.26-3.36
I8 0.5900 0.9403 0.7400  1 Pm 3.13, 3 Na 3.26-3.36
I9 0.7483 0.1860 0.0797  1 Pm 3.12, 2 Na 3.19-3.37
I10 0.7483 0.3140 0.5797  1 Pm 3.12, 2 Na 3.19-3.37
I11 0.8958 0.6802 0.0729  1 Pm 3.09, 2 Na 3.16-3.28
I12 0.8958 0.8198 0.5729  1 Pm 3.09, 2 Na 3.16-3.28

=====

No. 2
Here is a relaxed Na2PmI5 crystal from the Alexandria database. Energies are from GGA-PBE.

Values from the calculation:
As for the theoretical density: 4.5 Mg/m³. The value obtained for the density of states at the Fermi level is 0.000 states/eV/atom. The value obtained for the distance to the lowest polymorph of the same formula is 0 meV per atom. The value obtained for the raw total energy is -3.1796 eV per atom. The formation energy without anion corrections is -1.287 eV per atom.

Lattice parameters (Å, degrees): 13.9395 9.5603 9.1465 90.00 90.00 90.00
With the nearest neighbours (Å) after each atom.
Atoms (fractional coordinates):
Na1 0.1800 0.0175 0.0180  7 I 3.26-3.59
Na2 0.1800 0.4825 0.0180  7 I 3.26-3.59
Na3 0.3200 0.5175 0.5180  7 I 3.26-3.59
Na4 0.3200 0.9825 0.5180  7 I 3.26-3.59
Na5 0.6800 0.0175 0.4820  7 I 3.26-3.59
Na6 0.6800 0.4825 0.4820  7 I 3.26-3.59
Na7 0.8200 0.5175 0.9820  7 I 3.26-3.59
Na8 0.8200 0.9825 0.9820  7 I 3.26-3.59
Pm1 0.0055 0.7500 0.5855  7 I 3.14-3.26
Pm2 0.4945 0.2500 0.0855  7 I 3.14-3.26
Pm3 0.5055 0.7500 0.9145  7 I 3.14-3.26
Pm4 0.9945 0.2500 0.4145  7 I 3.14-3.26
I1 0.0067 0.7500 0.9407  1 Pm 3.25, 4 Na 3.44-3.59
I2 0.0866 0.0468 0.6631  2 Pm 3.14-3.26, 1 Na 3.51
I3 0.0866 0.4532 0.6631  2 Pm 3.14-3.26, 1 Na 3.51
I4 0.1819 0.7500 0.3639  1 Pm 3.19, 2 Na 3.26
I5 0.2127 0.2500 0.3214  1 Pm 3.16, 2 Na 3.47
I6 0.2873 0.7500 0.8214  1 Pm 3.16, 2 Na 3.47
I7 0.3181 0.2500 0.8639  1 Pm 3.19, 2 Na 3.26
I8 0.4134 0.5468 0.1631  2 Pm 3.14-3.26, 1 Na 3.51
I9 0.4134 0.9532 0.1631  2 Pm 3.14-3.26, 1 Na 3.51
I10 0.4933 0.2500 0.4407  1 Pm 3.25, 4 Na 3.44-3.59
I11 0.5067 0.7500 0.5593  1 Pm 3.25, 4 Na 3.44-3.59
I12 0.5866 0.0468 0.8369  2 Pm 3.14-3.26, 1 Na 3.51
I13 0.5866 0.4532 0.8369  2 Pm 3.14-3.26, 1 Na 3.51
I14 0.6819 0.7500 0.1361  1 Pm 3.19, 2 Na 3.26
I15 0.7127 0.2500 0.1786  1 Pm 3.16, 2 Na 3.47
I16 0.7873 0.7500 0.6786  1 Pm 3.16, 2 Na 3.47
I17 0.8181 0.2500 0.6361  1 Pm 3.19, 2 Na 3.26
I18 0.9134 0.5468 0.3369  2 Pm 3.14-3.26, 1 Na 3.51
I19 0.9134 0.9532 0.3369  2 Pm 3.14-3.26, 1 Na 3.51
I20 0.9933 0.2500 0.0593  1 Pm 3.25, 4 Na 3.44-3.59

=====

No. 3
Here is a relaxed Na2Pm2I7 crystal from the Alexandria database. Energies are from GGA-PBE.

Values from the calculation:
As for the theoretical density: 3.7 Mg/m³. The value obtained for the density of states at the Fermi level is 0.030 states/eV/atom. The value obtained for the raw total energy is -3.3105 eV per atom. The formation energy without anion corrections is -1.220 eV per atom.

Lattice parameters (Å, degrees): 8.5169 8.5169 8.2784 93.00 93.00 112.78
With the nearest neighbours (Å) after each atom.
Atoms (fractional coordinates):
Na1 0.2077 0.7923 0.0000  4 I 3.17-3.27
Na2 0.7923 0.2077 0.0000  4 I 3.17-3.27
Pm1 0.1921 0.1921 0.6047  5 I 3.05-3.17
Pm2 0.8079 0.8079 0.3953  5 I 3.05-3.17
I1 0.0544 0.4377 0.7655  1 Pm 3.05, 2 Na 3.17-3.27
I2 0.1001 0.1001 0.2358  2 Pm 3.09-3.17
I3 0.4377 0.0544 0.7655  1 Pm 3.05, 2 Na 3.17-3.27
I4 0.5000 0.5000 0.5000  2 Pm 3.11
I5 0.5623 0.9456 0.2345  1 Pm 3.05, 2 Na 3.17-3.27
I6 0.8999 0.8999 0.7642  2 Pm 3.09-3.17
I7 0.9456 0.5623 0.2345  1 Pm 3.05, 2 Na 3.17-3.27

=====

No. 4
Here is a relaxed NaPmI4 crystal from the Alexandria database. Energies are from GGA-PBE.

Values from the calculation:
As for the theoretical density: 3.9 Mg/m³. The value obtained for the density of states at the Fermi level is 0.000 states/eV/atom. The value obtained for the distance to the lowest polymorph of the same formula is 30 meV per atom. The value obtained for the raw total energy is -3.3697 eV per atom. The formation energy without anion corrections is -1.325 eV per atom.

Lattice parameters (Å, degrees): 10.6375 10.6375 7.8112 104.13 104.13 128.62
With the nearest neighbours (Å) after each atom.
Atoms (fractional coordinates):
Na1 0.0801 0.9199 0.7500  6 I 3.08-3.41
Na2 0.9199 0.0801 0.2500  6 I 3.08-3.41
Pm1 0.4223 0.5777 0.2500  6 I 2.97-3.29
Pm2 0.5777 0.4223 0.7500  6 I 2.97-3.29
I1 0.0769 0.4391 0.2458  1 Pm 2.97, 1 Na 3.08
I2 0.2169 0.3117 0.7684  2 Pm 3.16-3.29, 2 Na 3.40-3.41
I3 0.3117 0.2169 0.2684  2 Pm 3.16-3.29, 2 Na 3.40-3.41
I4 0.4391 0.0769 0.7458  1 Pm 2.97, 1 Na 3.08
I5 0.5609 0.9231 0.2542  1 Pm 2.97, 1 Na 3.08
I6 0.6883 0.7831 0.7316  2 Pm 3.16-3.29, 2 Na 3.40-3.41
I7 0.7831 0.6883 0.2316  2 Pm 3.16-3.29, 2 Na 3.40-3.41
I8 0.9231 0.5609 0.7542  1 Pm 2.97, 1 Na 3.08

=====

No. 5
Here is a relaxed NaPmI4 crystal from the Alexandria database. Energies are from GGA-PBE.

Values from the calculation:
As for the theoretical density: 4.0 Mg/m³. The value obtained for the density of states at the Fermi level is 0.000 states/eV/atom. The value obtained for the distance to the lowest polymorph of the same formula is 0 meV per atom. The value obtained for the raw total energy is -3.4000 eV per atom. The formation energy without anion corrections is -1.355 eV per atom.

Lattice parameters (Å, degrees): 7.6600 4.5313 8.0779 90.00 91.94 90.00
With the nearest neighbours (Å) after each atom.
Atoms (fractional coordinates):
Na1 0.0000 0.0000 0.0000  6 I 3.22-3.36
Pm1 0.0000 0.5000 0.5000  6 I 3.08-3.16
I1 0.2256 0.5000 0.1921  1 Pm 3.08, 2 Na 3.22
I2 0.2383 0.0000 0.6589  2 Pm 3.16, 1 Na 3.36
I3 0.7617 0.0000 0.3411  2 Pm 3.16, 1 Na 3.36
I4 0.7744 0.5000 0.8079  1 Pm 3.08, 2 Na 3.22

=====

No. 6
Here is a relaxed NaPmPuI6 crystal from the Alexandria database. Energies are from GGA-PBE.

Values from the calculation:
As for the theoretical density: 4.9 Mg/m³. The value obtained for the density of states at the Fermi level is 2.133 states/eV/atom. The value obtained for the raw total energy is -4.5380 eV per atom. The formation energy without anion corrections is -1.238 eV per atom.

Lattice parameters (Å, degrees): 7.8867 7.8867 14.7723 90.00 90.00 120.00
With the nearest neighbours (Å) after each atom.
Atoms (fractional coordinates):
Na1 0.0000 0.0000 0.0000  6 I 3.31
Na2 0.0000 0.0000 0.5000  6 I 3.31
Pm1 0.3333 0.6667 0.2500  6 I 3.13
Pm2 0.6667 0.3333 0.7500  6 I 3.13
Pu1 0.3333 0.6667 0.7500  6 I 3.19
Pu2 0.6667 0.3333 0.2500  6 I 3.19
I1 0.0064 0.3485 0.1269  1 Pm 3.13, 1 Pu 3.19, 1 Na 3.31
I2 0.0064 0.6579 0.3731  1 Pm 3.13, 1 Pu 3.19, 1 Na 3.31
I3 0.3421 0.3485 0.3731  1 Pm 3.13, 1 Pu 3.19, 1 Na 3.31
I4 0.3421 0.9936 0.1269  1 Pm 3.13, 1 Pu 3.19, 1 Na 3.31
I5 0.3485 0.0064 0.6269  1 Pm 3.13, 1 Pu 3.19, 1 Na 3.31
I6 0.3485 0.3421 0.8731  1 Pm 3.13, 1 Pu 3.19, 1 Na 3.31
I7 0.6515 0.6579 0.1269  1 Pm 3.13, 1 Pu 3.19, 1 Na 3.31
I8 0.6515 0.9936 0.3731  1 Pm 3.13, 1 Pu 3.19, 1 Na 3.31
I9 0.6579 0.0064 0.8731  1 Pm 3.13, 1 Pu 3.19, 1 Na 3.31
I10 0.6579 0.6515 0.6269  1 Pm 3.13, 1 Pu 3.19, 1 Na 3.31
I11 0.9936 0.3421 0.6269  1 Pm 3.13, 1 Pu 3.19, 1 Na 3.31
I12 0.9936 0.6515 0.8731  1 Pm 3.13, 1 Pu 3.19, 1 Na 3.31

=====

No. 7
Here is a relaxed RbNaPm2I8 crystal from the Alexandria database. Energies are from GGA-PBE.

Values from the calculation:
As for the theoretical density: 4.3 Mg/m³. The value obtained for the density of states at the Fermi level is 0.000 states/eV/atom. The value obtained for the raw total energy is -3.3576 eV per atom. The formation energy without anion corrections is -1.342 eV per atom.

Lattice parameters (Å, degrees): 8.2165 8.2165 9.4034 90.00 90.00 120.00
With the nearest neighbours (Å) after each atom.
Atoms (fractional coordinates):
Rb1 0.0000 0.0000 0.0000  6 I 4.28, 2 Na 4.70
Na1 0.0000 0.0000 0.5000  6 I 3.19
Pm1 0.3333 0.6667 0.4068  7 I 3.02-3.31
Pm2 0.6667 0.3333 0.5932  7 I 3.02-3.31
I1 0.0639 0.3716 0.6576  2 Pm 3.18-3.31, 1 Na 3.19
I2 0.3077 0.9361 0.6576  2 Pm 3.18-3.31, 1 Na 3.19
I3 0.3333 0.6667 0.0856  1 Pm 3.02
I4 0.3716 0.3077 0.3424  2 Pm 3.18-3.31, 1 Na 3.19
I5 0.6284 0.6923 0.6576  2 Pm 3.18-3.31, 1 Na 3.19
I6 0.6667 0.3333 0.9144  1 Pm 3.02
I7 0.6923 0.0639 0.3424  2 Pm 3.18-3.31, 1 Na 3.19
I8 0.9361 0.6284 0.3424  2 Pm 3.18-3.31, 1 Na 3.19

=====

No. 8
Here is a relaxed NaPmSeI crystal from the Alexandria database. Energies are from GGA-PBE.

Values from the calculation:
As for the theoretical density: 5.1 Mg/m³. The value obtained for the density of states at the Fermi level is 0.619 states/eV/atom. The value obtained for the raw total energy is -4.0955 eV per atom. The formation energy without anion corrections is -1.319 eV per atom.

Lattice parameters (Å, degrees): 8.3504 8.3504 8.3504 29.12 29.12 29.12
With the nearest neighbours (Å) after each atom.
Atoms (fractional coordinates):
Na1 0.0000 0.0000 0.0000  3 Se 2.91
Pm1 0.1963 0.1963 0.1963  3 Se 2.95, 3 I 3.25
Se1 0.5998 0.5998 0.5998  3 Na 2.91, 3 Pm 2.95
I1 0.7728 0.7728 0.7728  3 Pm 3.25, 3 Na 3.51